# TmPuHg2O6 (PBE-GGA, relaxed)
# total energy = -6.8614 eV per atom
# calculated volume = 14.7 A^3/atom
data_TmPuHg2O6
_symmetry_space_group_name_H-M 'R -3'
_symmetry_Int_Tables_number 148
_symmetry_space_group_name_Hall '-R 3'
_cell_length_a 5.7942
_cell_length_b 5.7942
_cell_length_c 15.2127
_cell_angle_alpha 90.00
_cell_angle_beta 90.00
_cell_angle_gamma 120.00
loop_
_atom_site_label
_atom_site_type_symbol
_atom_site_fract_x
_atom_site_fract_y
_atom_site_fract_z
Tm1 Tm 0.0000 0.0000 0.0000
Pu1 Pu 0.0000 0.0000 0.5000
Hg1 Hg 0.0000 0.0000 0.2530
O1 O 0.0100 0.6192 0.2494